Entry from Alexandria via LeMat-Bulk: crystalline CrIr2Br at its relaxed geometry (GGA-PBE).

a b c (Å): 2.9671 4.6976 4.6093
angles (deg): 90.00 90.40 90.00
Atoms (fractional coordinates):
Cr 0.0000 0.0000 0.0000
Ir 0.2386 0.5000 0.7577
Ir 0.7614 0.5000 0.2423
Br 0.5000 0.0000 0.5000

## Properties
Its density of states at the Fermi level is 1.08 states/eV per atom. Its mass density is 13.346 g cm⁻³. Its energy is -6.568 eV/atom. Its space group is P2/m.